Entry 1:
This record from the Alexandria database describes crystalline Ba5Au at its relaxed geometry. The functional is GGA-PBE.

POSCAR file:
```
Ba5Au
1.0
14.968 0.000 0.000
0.000 4.431 0.000
-2.141 0.000 10.014
Ba Au
10 2
Cartesian
0.000 0.000 0.000
0.311 0.000 4.201
1.300 2.216 7.963
3.970 0.000 2.158
4.572 0.000 6.262
7.484 2.216 0.000
7.795 2.216 4.201
8.783 0.000 7.963
11.454 2.216 2.158
12.056 2.216 6.262
2.760 2.216 4.600
10.244 0.000 4.600
```

Output
D(E_F) in states/eV per atom: 1.3406
Total DFT energy (no corrections) in eV per atom: -2.368
ΔE_f in eV per atom: -0.219
M_tot in μB per cell: 0.00
E above lowest polymorph in meV/atom: 0.0

Entry 2:
This record from the Alexandria database describes crystalline YTmAu2 at its relaxed geometry. The functional is GGA-PBE.

POSCAR file:
```
YTmAu2
1.0
3.560 0.000 0.000
0.000 3.560 0.000
0.000 0.000 7.238
Y Tm Au
1 1 2
Cartesian
0.000 0.000 0.000
0.000 0.000 3.619
1.780 1.780 1.891
1.780 1.780 5.347
```

Output
D(E_F) in states/eV per atom: 0.5560
Total DFT energy (no corrections) in eV per atom: -5.249
ΔE_f in eV per atom: -0.876
M_tot in μB per cell: 0.00
E above lowest polymorph in meV/atom: 0.0

Entry 3:
This record from the Alexandria database describes crystalline CsRb2AsPd at its relaxed geometry. The functional is GGA-PBE.

POSCAR file:
```
CsRb2AsPd
1.0
6.820 0.000 0.000
0.000 6.820 0.000
0.000 0.000 4.809
Cs Rb As Pd
1 2 1 1
Cartesian
0.000 0.000 0.000
0.000 3.410 2.405
3.410 0.000 2.405
3.410 3.410 2.405
3.410 3.410 0.000
```

Output
D(E_F) in states/eV per atom: 0.5998
Total DFT energy (no corrections) in eV per atom: -2.637
ΔE_f in eV per atom: -0.111
M_tot in μB per cell: 0.30

Entry 4:
This record from the Alexandria database describes crystalline Mg2Sb4Br at its relaxed geometry. The functional is GGA-PBE.

POSCAR file:
```
Mg2Sb4Br
1.0
5.339 0.000 0.000
0.000 5.339 0.000
0.000 0.000 17.283
Mg Sb Br
4 8 2
Cartesian
0.000 0.000 1.622
0.000 0.000 15.661
2.670 2.670 7.019
2.670 2.670 10.264
0.000 0.000 4.440
0.000 0.000 12.843
0.000 2.670 0.000
0.000 2.670 8.642
2.670 0.000 0.000
2.670 0.000 8.642
2.670 2.670 4.201
2.670 2.670 13.082
0.000 0.000 8.642
2.670 2.670 0.000
```

Output
D(E_F) in states/eV per atom: 0.9249
Total DFT energy (no corrections) in eV per atom: -2.699
Formation energy (no corrections) in eV per atom: 0.351
M_tot in μB per cell: 0.00

Question: Which of these has the highest total DFT energy (no corrections)?
Answer: Ba5Au